The following is a DFT calculation (GGA-PBE) of crystalline YZn2Sb at its relaxed geometry.

Values from the calculation:
* space group: P4/mmm
* energy relative to the elements, uncorrected: -0.80 eV per formula unit
* crystal system: tetragonal
* magnetization: 0.000 μB/atom
* density: 6.4 g/cm³
* DFT total energy: -13.9 eV/cell

POSCAR file:
```
YZn2Sb
1.0
-2.071 0.845 -3.076
1.739 -2.775 -1.934
-4.304 -3.959 1.811
Zn Sb Y
2 1 1
Direct
0.000 0.000 0.476 Zn
0.000 0.000 0.024 Zn
0.500 0.500 0.250 Sb
0.500 0.500 0.750 Y
```